Arrangement w

Entry from OQMD via LeMat-Bulk: an optimized crystal structure of Nd2Sc2CI3Cl2 (PBE-GGA).

## Properties
magnetic moment: 0.00 μB per formula unit
crystal system: monoclinic

a b c (Å): 19.872 3.853 8.890
angles (deg): 90.00 101.34 90.00
Space group C2/m (No. 12)
Asymmetric unit:
Nd 0.000 0.000 0.196 [4 per cell]
Sc 0.115 0.500 0.046 [4 per cell]
C 0.000 0.500 0.000 [2 per cell]
I 0.000 0.500 0.500 [2 per cell]
I 0.164 0.000 0.294 [4 per cell]
Cl 0.147 0.000 0.872 [4 per cell]

=====

Arrangement x

Entry from OQMD via LeMat-Bulk: an optimized crystal structure of Nd2Sc2CI3Cl2 (PBE-GGA).

## Properties
magnetic moment: 0.12 μB per formula unit
crystal system: monoclinic

a b c (Å): 19.180 3.882 8.167
angles (deg): 90.00 102.20 90.00
Space group C2/m (No. 12)
Asymmetric unit:
Nd 0.129 0.000 0.052 [4 per cell]
Sc 0.001 0.500 0.184 [4 per cell]
C 0.000 0.000 0.000 [2 per cell]
I 0.000 0.000 0.500 [2 per cell]
I 0.159 0.500 0.356 [4 per cell]
Cl 0.139 0.500 0.809 [4 per cell]

=====

Arrangement y

Entry from OQMD via LeMat-Bulk: an optimized crystal structure of Nd2Sc2CI3Cl2 (PBE-GGA).

## Properties
magnetic moment: 0.09 μB per formula unit
crystal system: monoclinic

a b c (Å): 18.226 3.852 8.199
angles (deg): 90.00 101.18 90.00
Space group C2/m (No. 12)
Asymmetric unit:
Nd 0.138 0.000 0.071 [4 per cell]
Sc 0.001 0.500 0.818 [4 per cell]
C 0.000 0.000 0.000 [2 per cell]
I 0.000 0.000 0.500 [2 per cell]
I 0.168 0.500 0.787 [4 per cell]
Cl 0.142 0.500 0.322 [4 per cell]

=====

arrangement w is the most stable structure; the next one sits 32 meV per atom above it.

=====

Arrangement w

Entry from OQMD via LeMat-Bulk: an optimized crystal structure of Nd2Sc2CI2Cl3 (PBE-GGA).

## Properties
magnetic moment: 0.02 μB per formula unit
crystal system: monoclinic

a b c (Å): 18.187 3.769 7.866
angles (deg): 90.00 100.71 90.00
Space group C2/m (No. 12)
Asymmetric unit:
Nd 0.138 0.000 0.075 [4 per cell]
Sc 0.002 0.500 0.807 [4 per cell]
C 0.000 0.000 0.000 [2 per cell]
I 0.168 0.500 0.779 [4 per cell]
Cl 0.000 0.000 0.500 [2 per cell]
Cl 0.138 0.500 0.337 [4 per cell]

=====

Arrangement x

Entry from OQMD via LeMat-Bulk: an optimized crystal structure of Nd2Sc2CI2Cl3 (PBE-GGA).

## Properties
magnetic moment: 0.01 μB per formula unit
crystal system: monoclinic

a b c (Å): 20.049 3.799 8.134
angles (deg): 90.00 101.09 90.00
Space group C2/m (No. 12)
Asymmetric unit:
Nd 0.001 0.000 0.285 [4 per cell]
Sc 0.114 0.500 0.564 [4 per cell]
C 0.000 0.500 0.500 [2 per cell]
I 0.163 0.000 0.337 [4 per cell]
Cl 0.000 0.500 0.000 [2 per cell]
Cl 0.144 0.000 0.788 [4 per cell]

=====

arrangement x is the most stable structure; the next one sits 61 meV per atom above it.

=====

Arrangement w

Entry from OQMD via LeMat-Bulk: an optimized crystal structure of Nd2Sc2CICl4 (PBE-GGA).

## Properties
magnetic moment: 0.30 μB per formula unit
crystal system: monoclinic

a b c (Å): 17.152 3.749 8.074
angles (deg): 90.00 106.09 90.00
Space group C2/m (No. 12)
Asymmetric unit:
Nd 0.150 0.000 0.090 [4 per cell]
Sc 0.000 0.500 0.185 [4 per cell]
C 0.000 0.000 0.000 [2 per cell]
I 0.000 0.000 0.500 [2 per cell]
Cl 0.156 0.500 0.349 [4 per cell]
Cl 0.162 0.500 0.832 [4 per cell]

=====

Arrangement x

Entry from OQMD via LeMat-Bulk: an optimized crystal structure of Nd2Sc2CICl4 (PBE-GGA).

## Properties
magnetic moment: 0.01 μB per formula unit
crystal system: monoclinic

a b c (Å): 18.631 3.747 8.996
angles (deg): 90.00 103.37 90.00
Space group C2/m (No. 12)
Asymmetric unit:
Nd 0.001 0.000 0.305 [4 per cell]
Sc 0.123 0.500 0.562 [4 per cell]
C 0.000 0.500 0.500 [2 per cell]
I 0.000 0.500 0.000 [2 per cell]
Cl 0.157 0.000 0.767 [4 per cell]
Cl 0.159 0.000 0.389 [4 per cell]

=====

arrangement x is the most stable structure; the next one sits 22 meV per atom above it.

=====

Arrangement w

Entry from OQMD via LeMat-Bulk: an optimized crystal structure of Nd2Sm2C2I2Cl3 (PBE-GGA).

## Properties
magnetic moment: 0.01 μB per formula unit
crystal system: monoclinic

a b c (Å): 19.249 3.902 8.087
angles (deg): 90.00 102.19 90.00
Space group C2/m (No. 12)
Asymmetric unit:
Nd 0.157 0.000 0.077 [4 per cell]
Sm 0.003 0.500 0.796 [4 per cell]
C 0.037 0.000 0.016 [4 per cell]
I 0.162 0.500 0.380 [4 per cell]
Cl 0.000 0.000 0.500 [2 per cell]
Cl 0.169 0.500 0.827 [4 per cell]

=====

Arrangement x

Entry from OQMD via LeMat-Bulk: an optimized crystal structure of Nd2Sm2C2I2Cl3 (PBE-GGA).

## Properties
magnetic moment: 0.01 μB per formula unit
crystal system: monoclinic

a b c (Å): 19.815 3.920 8.056
angles (deg): 90.00 102.68 90.00
Space group C2/m (No. 12)
Asymmetric unit:
Nd 0.002 0.000 0.210 [4 per cell]
Sm 0.151 0.500 0.095 [4 per cell]
C 0.036 0.500 0.020 [4 per cell]
I 0.169 0.000 0.801 [4 per cell]
Cl 0.000 0.500 0.500 [2 per cell]
Cl 0.154 0.000 0.341 [4 per cell]

=====

Arrangement y

Entry from OQMD via LeMat-Bulk: an optimized crystal structure of Nd2Sm2C2I2Cl3 (PBE-GGA).

## Properties
magnetic moment: 0.01 μB per formula unit
crystal system: monoclinic

a b c (Å): 19.840 3.898 8.038
angles (deg): 90.00 102.02 90.00
Space group C2/m (No. 12)
Asymmetric unit:
Nd 0.152 0.000 0.097 [4 per cell]
Sm 0.001 0.500 0.206 [4 per cell]
C 0.036 0.000 0.020 [4 per cell]
I 0.168 0.500 0.794 [4 per cell]
Cl 0.000 0.000 0.500 [2 per cell]
Cl 0.148 0.500 0.347 [4 per cell]

=====

arrangement x is the most stable structure; the next one sits 23 meV per atom above it.

=====

Arrangement w

Entry from OQMD via LeMat-Bulk: an optimized crystal structure of Nd2Sm2CI4Cl (PBE-GGA).

## Properties
magnetic moment: 0.01 μB per formula unit
crystal system: monoclinic

a b c (Å): 19.327 3.993 8.449
angles (deg): 90.00 102.52 90.00
Space group C2/m (No. 12)
Asymmetric unit:
Nd 0.134 0.000 0.071 [4 per cell]
Sm 0.001 0.500 0.795 [4 per cell]
C 0.000 0.000 0.000 [2 per cell]
I 0.162 0.500 0.363 [4 per cell]
I 0.169 0.500 0.810 [4 per cell]
Cl 0.000 0.000 0.500 [2 per cell]

=====

Arrangement x

Entry from OQMD via LeMat-Bulk: an optimized crystal structure of Nd2Sm2CI4Cl (PBE-GGA).

## Properties
magnetic moment: 0.01 μB per formula unit
crystal system: monoclinic

a b c (Å): 19.444 4.008 8.420
angles (deg): 90.00 102.22 90.00
Space group C2/m (No. 12)
Asymmetric unit:
Nd 0.002 0.000 0.291 [4 per cell]
Sm 0.131 0.500 0.569 [4 per cell]
C 0.000 0.500 0.500 [2 per cell]
I 0.164 0.000 0.857 [4 per cell]
I 0.171 0.000 0.317 [4 per cell]
Cl 0.000 0.500 0.000 [2 per cell]

=====

arrangement x is the most stable structure; the next one sits 12 meV per atom above it.